(1)
This record from the Alexandria database describes a relaxed structure of NdHoN. The functional is PBE.

The structure belongs to space group I4mm (No. 107); the cell edges are 4.720, 4.720 and 7.799 Å and the angles 90.00°, 90.00° and 90.00°. The inequivalent atoms are Nd at (0.000, 0.000, 0.000), Ho at (0.000, 0.000, 0.535) and N at (0.000, 0.000, 0.275).

As for the electronic total energy: -34.23 eV per cell. For the uncorrected formation energy, the calculation gives 4.28 kcal/mol of atoms. The value obtained for the energy above the most stable polymorph in this dataset is 1.142 eV per atom.

(2)
This record from the Alexandria database describes a relaxed structure of InAsBr2. The functional is PBE.

The structure belongs to space group C2/m (No. 12); the cell edges are 8.349, 8.337 and 3.344 Å and the angles 90.00°, 90.51° and 90.00°. The inequivalent atoms are In at (0.000, 0.000, 0.000), As at (0.000, 0.500, 0.000) and Br at (0.250, 0.250, 0.000).

As for the electronic total energy: -21.41 eV per cell. For the uncorrected formation energy, the calculation gives 0.16 kcal/mol of atoms. The value obtained for the energy above the most stable polymorph in this dataset is 0.330 eV per atom.